Entry i
The following is a PBE calculation of VTeSeI2 after structural relaxation, from Alexandria.

## Properties
**Calculated volume**: 145.68 Å³ per cell
**Space group**: P4/mmm, No. 123

Geometry as POSCAR:
```
VTeSeI2
1.0
-1.828 4.579 -1.687
-3.907 -2.452 -2.424
-3.010 0.427 4.420
I Te Se V
2 1 1 1
Direct
0.000 0.500 0.000
0.500 0.000 0.000
0.000 0.000 0.500
0.500 0.500 0.500
0.000 0.000 0.000
```

=====

Entry ii
The following is a PBE calculation of VTeSeI2 after structural relaxation, from Alexandria.

## Properties
**Calculated volume**: 179.95 Å³ per cell
**Space group**: P4/mmm, No. 123

Geometry as POSCAR:
```
VTeSeI2
1.0
-4.282 3.650 0.083
-1.973 -2.420 4.681
3.103 3.569 3.153
I Te Se V
2 1 1 1
Direct
0.000 0.500 0.000
0.500 0.000 0.000
0.000 0.000 0.500
0.000 0.000 0.000
0.500 0.500 0.500
```

=====

Short version: entry ii is the least stable of them.

=====

Entry i
The following is a PBE calculation of TeWSeI2 after structural relaxation, from Alexandria.

## Properties
**Calculated volume**: 152.97 Å³ per cell
**Space group**: P4/mmm, No. 123

Geometry as POSCAR:
```
TeWSeI2
1.0
5.371 0.000 0.000
0.000 5.371 0.000
0.000 0.000 5.302
I Te Se W
2 1 1 1
Direct
0.000 0.500 0.000
0.500 0.000 0.000
0.000 0.000 0.500
0.500 0.500 0.500
0.000 0.000 0.000
```

=====

Entry ii
The following is a PBE calculation of TeWSeI2 after structural relaxation, from Alexandria.

## Properties
**Calculated volume**: 175.30 Å³ per cell
**Space group**: P4/mmm, No. 123

Geometry as POSCAR:
```
TeWSeI2
1.0
-3.800 2.898 -2.820
-0.256 -4.035 -3.800
-4.140 -2.537 2.973
I Te Se W
2 1 1 1
Direct
0.000 0.500 0.000
0.500 0.000 0.000
0.000 0.000 0.500
0.000 0.000 0.000
0.500 0.500 0.500
```

=====

Short version: entry ii is the least stable of them.

=====

Entry i
The following is a PBE calculation of YTeSeI2 after structural relaxation, from Alexandria.

## Properties
**Calculated volume**: 216.09 Å³ per cell
**Space group**: P4/mmm, No. 123

Geometry as POSCAR:
```
YTeSeI2
1.0
5.966 0.000 0.000
0.000 5.966 0.000
0.000 0.000 6.072
I Y Te Se
2 1 1 1
Direct
0.000 0.500 0.000
0.500 0.000 0.000
0.000 0.000 0.000
0.000 0.000 0.500
0.500 0.500 0.500
```

=====

Entry ii
The following is a PBE calculation of YTeSeI2 after structural relaxation, from Alexandria.

## Properties
**Calculated volume**: 177.16 Å³ per cell
**Space group**: P4/mmm, No. 123

Geometry as POSCAR:
```
YTeSeI2
1.0
5.676 0.000 0.000
0.000 5.676 0.000
0.000 0.000 5.498
I Y Te Se
2 1 1 1
Direct
0.000 0.500 0.000
0.500 0.000 0.000
0.500 0.500 0.500
0.000 0.000 0.500
0.000 0.000 0.000
```

=====

Short version: entry ii is the least stable of them.